Entry 1:
The following is a DFT calculation (GGA-PBE) of a geometry-optimized La5W structure.

Properties
energy above the lowest structure with this stoichiometry: 151 meV/atom
magnetization: 0.00 Bohr magnetons per cell
density: 7.4 Mg/m³

Lattice parameters (Å, degrees): 3.6514 3.6514 17.0310 90.00 90.00 120.00
Space group P-6m2 (No. 187)
Symmetry-distinct sites (fractional):
1 La 0.0000 0.0000 0.0000
2 La 0.0000 0.0000 0.3741
3 La 0.6667 0.3333 0.1791
4 W 0.6667 0.3333 0.5000

Entry 2:
The following is a DFT calculation (GGA-PBE) of a geometry-optimized LiBe2Se structure.

Properties
formation energy from raw total energies: 0.119 eV per atom
magnetization: 0.00 Bohr magnetons per cell
density: 3.3 Mg/m³

Lattice parameters (Å, degrees): 4.706 4.736 4.639 90.00 90.00 90.00
Space group Cmmm (No. 65)
Symmetry-distinct sites (fractional):
1 Li 0.000 0.000 0.000
2 Be 0.000 0.500 0.250
3 Se 0.000 0.000 0.500

Final energy in eV per atom, matching the order above: -5.83, -3.09